[1]
An optimized crystal structure of Nd5Co2Cl3O10. Source: OQMD via LeMat-Bulk, functional PBE+U.

a = 6.8435 Å, b = 6.8435 Å, c = 9.5805 Å
α = 91.41°, β = 91.41°, γ = 49.23°
Last column: nearest neighbours and their distance in Å.
Fractional coordinates of all 20 atoms:
Nd: 0.0000 0.0000 0.0000  8 O 2.43-2.52
Nd: 0.2984 0.2984 0.1074  6 O 2.32-2.48
Nd: 0.4027 0.4027 0.7518  5 O 2.31-2.44
Nd: 0.5973 0.5973 0.2482  5 O 2.31-2.44
Nd: 0.7016 0.7016 0.8926  6 O 2.32-2.48
Co: 0.0865 0.0865 0.6797  3 O 1.72-1.82
Co: 0.9135 0.9135 0.3203  3 O 1.72-1.82
Cl: 0.1136 0.1136 0.4013  2 Co 2.59-2.70
Cl: 0.5000 0.5000 0.5000  2 Nd 2.73
Cl: 0.8864 0.8864 0.5987  2 Co 2.59-2.70
O: 0.1035 0.5979 0.9285  4 Nd 2.31-2.43
O: 0.1867 0.6995 0.2053  1 Co 1.82
O: 0.2247 0.2247 0.6728  1 Co 1.72
O: 0.3005 0.8133 0.7947  1 Co 1.82
O: 0.4021 0.8965 0.0715  4 Nd 2.31-2.43
O: 0.5979 0.1035 0.9285  4 Nd 2.31-2.43
O: 0.6995 0.1867 0.2053  1 Co 1.82
O: 0.7753 0.7753 0.3272  1 Co 1.72
O: 0.8133 0.3005 0.7947  1 Co 1.82
O: 0.8965 0.4021 0.0715  4 Nd 2.31-2.43

Calculated values
Total moment = 0.500 μB per atom
Calculated density = 5.404 g cm⁻³
E = -6.77 eV/atom
V = 17.0 Å³ per atom

=====

[2]
An optimized crystal structure of Co2PbCl2O3. Source: OQMD via LeMat-Bulk, functional PBE+U.

a = 5.2550 Å, b = 6.5584 Å, c = 8.1377 Å
α = 90.00°, β = 103.93°, γ = 90.00°
Last column: nearest neighbours and their distance in Å.
Fractional coordinates of all 16 atoms:
Co: 0.0000 0.0000 0.0000  4 O 1.87-1.92
Co: 0.0000 0.5000 0.0000  4 O 1.87-1.92
Co: 0.2682 0.2500 0.8041  2 O 1.81
Co: 0.7318 0.7500 0.1959  2 O 1.81
Pb: 0.4053 0.7500 0.7040  3 O 2.30-2.48
Pb: 0.5947 0.2500 0.2960  3 O 2.30-2.48
Cl: 0.1597 0.2500 0.5072  1 Co 2.34
Cl: 0.3003 0.7500 0.2163  1 Co 2.31
Cl: 0.6997 0.2500 0.7837  1 Co 2.31
Cl: 0.8403 0.7500 0.4928  1 Co 2.34
O: 0.1900 0.2500 0.0636  2 Co 1.92
O: 0.2018 0.5153 0.8399  2 Co 1.81-1.87
O: 0.2018 0.9847 0.8399  2 Co 1.81-1.87
O: 0.7982 0.0153 0.1601  2 Co 1.81-1.87
O: 0.7982 0.4847 0.1601  2 Co 1.81-1.87
O: 0.8100 0.7500 0.9364  2 Co 1.92

Calculated values
Total moment = 0.750 μB per atom
Calculated density = 5.417 g cm⁻³
E = -4.93 eV/atom
V = 17.0 Å³ per atom

=====

[3]
An optimized crystal structure of Co2PtCl2O3. Source: OQMD via LeMat-Bulk, functional PBE+U.

a = 4.8037 Å, b = 7.4170 Å, c = 7.4106 Å
α = 90.00°, β = 107.73°, γ = 90.00°
Last column: nearest neighbours and their distance in Å.
Fractional coordinates of all 16 atoms:
Co: 0.0000 0.0000 0.0000  2 O 2.00
Co: 0.0000 0.5000 0.0000  2 O 2.00
Co: 0.2428 0.2500 0.7787  3 O 1.90-2.05
Co: 0.7572 0.7500 0.2213  3 O 1.90-2.05
Pt: 0.3056 0.7500 0.7719  3 O 1.92-1.98
Pt: 0.6944 0.2500 0.2281  3 O 1.92-1.98
Cl: 0.1629 0.2500 0.4488  1 Pt 2.34, 1 Co 2.36
Cl: 0.2655 0.7500 0.2149  4 Co 2.35-2.52
Cl: 0.7345 0.2500 0.7851  4 Co 2.35-2.52
Cl: 0.8371 0.7500 0.5512  1 Pt 2.34, 1 Co 2.36
O: 0.2316 0.5025 0.8175  2 Co 1.90-2.00, 1 Pt 1.92
O: 0.2316 0.9975 0.8175  2 Co 1.90-2.00, 1 Pt 1.92
O: 0.2836 0.2500 0.0628  1 Pt 1.98, 1 Co 2.05
O: 0.7164 0.7500 0.9372  1 Pt 1.98, 1 Co 2.05
O: 0.7684 0.0025 0.1825  2 Co 1.90-2.00, 1 Pt 1.92
O: 0.7684 0.4975 0.1825  2 Co 1.90-2.00, 1 Pt 1.92

Calculated values
Total moment = 0.507 μB per atom
Calculated density = 5.703 g cm⁻³
E = -4.87 eV/atom
V = 15.7 Å³ per atom

=====

[4]
An optimized crystal structure of Co2SeCl2O3. Source: OQMD via LeMat-Bulk, functional PBE+U.

a = 4.9886 Å, b = 6.6214 Å, c = 8.1178 Å
α = 90.00°, β = 105.77°, γ = 90.00°
Last column: nearest neighbours and their distance in Å.
Fractional coordinates of all 16 atoms:
Co: 0.0000 0.0000 0.0000  4 O 2.05-2.11
Co: 0.0000 0.5000 0.0000  4 O 2.05-2.11
Co: 0.2554 0.2500 0.7743  2 O 2.04, 1 Cl 2.25
Co: 0.7446 0.7500 0.2257  2 O 2.04, 1 Cl 2.25
Se: 0.4039 0.7500 0.7658  3 O 1.73-1.81
Se: 0.5961 0.2500 0.2342  3 O 1.73-1.81
Cl: 0.1666 0.2500 0.4872  1 Co 2.25
Cl: 0.2442 0.7500 0.2119  4 Co 2.46-2.52
Cl: 0.7558 0.2500 0.7881  4 Co 2.46-2.52
Cl: 0.8334 0.7500 0.5128  1 Co 2.25
O: 0.2482 0.5475 0.8392  1 Se 1.73
O: 0.2482 0.9525 0.8392  1 Se 1.73
O: 0.2687 0.2500 0.0688  1 Se 1.81
O: 0.7313 0.7500 0.9312  1 Se 1.81
O: 0.7518 0.0475 0.1608  1 Se 1.73
O: 0.7518 0.4525 0.1608  1 Se 1.73

Calculated values
Total moment = 0.750 μB per atom
Calculated density = 4.063 g cm⁻³
E = -4.90 eV/atom
V = 16.1 Å³ per atom

=====

[5]
An optimized crystal structure of Sr3Co2Cl2O5. Source: OQMD via LeMat-Bulk, functional PBE+U.

a = 12.2394 Å, b = 12.2394 Å, c = 12.2394 Å
α = 161.74°, β = 161.74°, γ = 25.94°
Last column: nearest neighbours and their distance in Å.
Fractional coordinates of all 12 atoms:
Sr: 0.0000 0.0000 0.0000  12 O 2.75-2.88
Sr: 0.1568 0.1568 0.0000  4 O 2.53
Sr: 0.8432 0.8432 0.0000  4 O 2.53
Co: 0.4201 0.4201 0.0000  5 O 1.91-1.95
Co: 0.5799 0.5799 0.0000  5 O 1.91-1.95
Cl: 0.2948 0.2948 0.0000  5 Sr 2.98-3.29, 1 Co 2.99
Cl: 0.7052 0.7052 0.0000  5 Sr 2.98-3.29, 1 Co 2.99
O: 0.0890 0.5890 0.5000  2 Co 1.95
O: 0.4110 0.9110 0.5000  2 Co 1.95
O: 0.5000 0.5000 0.0000  2 Co 1.91
O: 0.5890 0.0890 0.5000  2 Co 1.95
O: 0.9110 0.4110 0.5000  2 Co 1.95

Calculated values
Total moment = 0.527 μB per atom
Calculated density = 4.905 g cm⁻³
E = -5.58 eV/atom
V = 15.0 Å³ per atom